# 1
VASP calculation (SCAN) on a crystal of Sr3B2N4 relaxed with PBEsol.

Computed properties:
- Density: 3.87 g/cm³
- Calculated volume: 437.9 Å³ per cell
- Symmetry: Pm-3m, No. 221
- DOS at the Fermi energy: 0.000 states/eV/cell
- Total energy: -14.53 eV/atom
- Magnetization: 0.0 μB per formula unit

Cell lengths 7.594, 7.594, 7.594 Å; angles 90.00, 90.00, 90.00 degrees
Element x y z (fractional)
Sr (0.737, 0.737, 0.263)
Sr (0.263, 0.263, 0.737)
Sr (0.737, 0.263, 0.737)
Sr (0.263, 0.737, 0.263)
Sr (0.737, 0.263, 0.263)
Sr (0.263, 0.737, 0.737)
Sr (0.737, 0.737, 0.737)
Sr (0.263, 0.263, 0.263)
Sr (0.000, 0.000, 0.000)
B (0.000, 0.000, 0.500)
B (0.500, 0.500, 0.000)
B (0.500, 0.000, 0.500)
B (0.000, 0.500, 0.000)
B (0.500, 0.000, 0.000)
B (0.000, 0.500, 0.500)
N (0.500, 0.500, 0.177)
N (0.000, 0.000, 0.677)
N (0.500, 0.823, 0.500)
N (0.000, 0.323, 0.000)
N (0.323, 0.000, 0.000)
N (0.823, 0.500, 0.500)
N (0.500, 0.500, 0.823)
N (0.000, 0.000, 0.323)
N (0.500, 0.177, 0.500)
N (0.000, 0.677, 0.000)
N (0.677, 0.000, 0.000)
N (0.177, 0.500, 0.500)


# 2
VASP calculation (SCAN) on a crystal of Lu2S3 relaxed with PBEsol.

Computed properties:
- Density: 6.43 g/cm³
- Calculated volume: 230.3 Å³ per cell
- Symmetry: C2/c, No. 15
- DOS at the Fermi energy: 0.000 states/eV/cell
- Total energy: -30.24 eV/atom
- Magnetization: 0.0 μB per formula unit

Cell lengths 6.522, 6.530, 6.530 Å; angles 118.44, 99.92, 99.92 degrees
Element x y z (fractional)
S (0.497, 0.142, 0.318)
S (0.503, 0.858, 0.682)
S (0.500, 0.500, 0.000)
S (0.003, 0.682, 0.858)
S (0.997, 0.318, 0.142)
S (0.000, 0.000, 0.500)
Lu (0.750, 0.913, 0.087)
Lu (0.250, 0.087, 0.913)
Lu (0.250, 0.741, 0.259)
Lu (0.750, 0.259, 0.741)


# 3
VASP calculation (SCAN) on a crystal of MgTa3F relaxed with PBEsol.

Computed properties:
- Density: 12.12 g/cm³
- Calculated volume: 80.3 Å³ per cell
- Symmetry: Pm-3m, No. 221
- DOS at the Fermi energy: 2.924 states/eV/cell
- Total energy: -41.43 eV/atom
- Magnetization: 0.0 μB per formula unit

Cell lengths 4.314, 4.314, 4.314 Å; angles 90.00, 90.00, 90.00 degrees
Element x y z (fractional)
Mg (0.500, 0.500, 0.500)
F (0.000, 0.000, 0.000)
Ta (0.000, 0.500, 0.000)
Ta (0.000, 0.000, 0.500)
Ta (0.500, 0.000, 0.000)


# 4
VASP calculation (SCAN) on a crystal of LaAs2Rh relaxed with PBEsol.

Computed properties:
- Density: 7.10 g/cm³
- E_form: -801.9 meV per atom
- Calculated volume: 183.2 Å³ per cell
- Symmetry: I-42d, No. 122
- DOS at the Fermi energy: 4.471 states/eV/cell
- Magnetization: 0.0 μB per formula unit

Cell lengths 4.709, 4.709, 8.907 Å; angles 105.33, 105.33, 90.00 degrees
Element x y z (fractional)
As (0.736, 0.375, 0.250)
As (0.514, 0.875, 0.250)
As (0.625, 0.486, 0.750)
As (0.125, 0.264, 0.750)
Rh (0.750, 0.250, 0.500)
Rh (0.500, 0.500, 0.000)
La (0.250, 0.750, 0.500)
La (0.000, 0.000, 0.000)